(1)
SrLaGa: optimized geometry, PBE.

The structure in CIF format:
```
data_SrLaGa
_cell_length_a 3.815
_cell_length_b 7.700
_cell_length_c 8.065
_cell_angle_alpha 112.72
_cell_angle_beta 103.66
_cell_angle_gamma 90.03
_space_group_name_H-M_alt 'P 1'
_space_group_IT_number 1
loop_
_space_group_symop_operation_xyz
'x,y,z'
loop_
_atom_site_label
_atom_site_fract_x
_atom_site_fract_y
_atom_site_fract_z
Sr1 0.000 0.000 0.000
Sr2 0.082 0.524 0.162
La1 0.267 0.043 0.532
La2 0.348 0.503 0.694
Ga1 0.680 0.286 0.358
Ga2 0.769 0.718 0.535
```

Computed properties:
DFT formation energy (eV per atom): -0.2208

=====

(2)
CaInPb3: optimized geometry, PBE.

The structure in CIF format:
```
data_CaInPb3
_cell_length_a 5.873
_cell_length_b 5.873
_cell_length_c 5.873
_cell_angle_alpha 90.00
_cell_angle_beta 90.00
_cell_angle_gamma 90.00
_space_group_name_H-M_alt 'P m -3 m'
_space_group_IT_number 221
_space_group_name_Hall '-P 4 2 3'
loop_
_atom_site_label
_atom_site_fract_x
_atom_site_fract_y
_atom_site_fract_z
Ca1 0.000 0.000 0.000
In1 0.500 0.500 0.500
Pb1 0.000 0.000 0.500
```

Computed properties:
DFT formation energy (eV per atom): 0.4845

=====

(3)
YTcNi: optimized geometry, PBE.

The structure in CIF format:
```
data_YTcNi
_cell_length_a 4.0981
_cell_length_b 4.0981
_cell_length_c 3.9559
_cell_angle_alpha 90.00
_cell_angle_beta 90.00
_cell_angle_gamma 120.00
_space_group_name_H-M_alt 'P -6 m 2'
_space_group_IT_number 187
_space_group_name_Hall 'P -6 2'
loop_
_atom_site_label
_atom_site_fract_x
_atom_site_fract_y
_atom_site_fract_z
Y1 0.0000 0.0000 0.0000
Tc1 0.6667 0.3333 0.5000
Ni1 0.3333 0.6667 0.5000
```

Computed properties:
DFT formation energy (eV per atom): 0.0241

=====

(4)
CaNd8Dy4: optimized geometry, PBE.

The structure in CIF format:
```
data_CaNd8Dy4
_cell_length_a 11.540
_cell_length_b 5.169
_cell_length_c 15.050
_cell_angle_alpha 90.00
_cell_angle_beta 94.13
_cell_angle_gamma 90.00
_space_group_name_H-M_alt 'C 1 2/m 1'
_space_group_IT_number 12
loop_
_space_group_symop_operation_xyz
'x,y,z'
'-x,-y,-z'
'-x,y,-z'
'x,-y,z'
'x+1/2,y+1/2,z'
'-x+1/2,-y+1/2,-z'
'-x+1/2,y+1/2,-z'
'x+1/2,-y+1/2,z'
loop_
_atom_site_label
_atom_site_fract_x
_atom_site_fract_y
_atom_site_fract_z
Ca1 0.000 0.000 0.000
Nd1 0.040 0.500 0.386
Nd2 0.076 0.000 0.766
Nd3 0.194 0.500 0.920
Nd4 0.234 0.000 0.310
Dy1 0.121 0.500 0.159
Dy2 0.152 0.000 0.537
```

Computed properties:
DFT formation energy (eV per atom): 0.0366

=====

(5)
LiCoTc2: optimized geometry, PBE.

The structure in CIF format:
```
data_LiCoTc2
_cell_length_a 2.567
_cell_length_b 4.173
_cell_length_c 4.758
_cell_angle_alpha 90.00
_cell_angle_beta 96.42
_cell_angle_gamma 90.00
_space_group_name_H-M_alt 'P 1 m 1'
_space_group_IT_number 6
loop_
_space_group_symop_operation_xyz
'x,y,z'
'x,-y,z'
loop_
_atom_site_label
_atom_site_fract_x
_atom_site_fract_y
_atom_site_fract_z
Li1 0.000 0.000 0.000
Co1 0.064 0.500 0.754
Tc1 0.456 0.000 0.509
Tc2 0.628 0.500 0.224
```

Computed properties:
DFT formation energy (eV per atom): 0.1776

=====

(6)
NpCdAu2: optimized geometry, PBE.

The structure in CIF format:
```
data_NpCdAu2
_cell_length_a 5.742
_cell_length_b 4.654
_cell_length_c 6.334
_cell_angle_alpha 90.00
_cell_angle_beta 97.55
_cell_angle_gamma 90.00
_space_group_name_H-M_alt 'P 1 21/m 1'
_space_group_IT_number 11
loop_
_space_group_symop_operation_xyz
'x,y,z'
'-x,-y,-z'
'-x,y+1/2,-z'
'x,-y+1/2,z'
loop_
_atom_site_label
_atom_site_fract_x
_atom_site_fract_y
_atom_site_fract_z
Np1 0.075 0.250 0.112
Cd1 0.389 0.750 0.597
Au1 0.092 0.250 0.622
Au2 0.439 0.750 0.124
```

Computed properties:
DFT formation energy (eV per atom): -0.0971

=====

The highest DFT formation energy belongs to which entry?
CaInPb3